# Na2Si7Pd12

Na2Si7Pd12 after structural relaxation (GGA-PBE, Alexandria via LeMat-Bulk).

Its crystal system is hexagonal. The symmetry is P-6 (174).

abc: 10.0928 10.0928 3.7279
angles: 90.00 90.00 120.00
With the nearest neighbours (Å) after each atom.
Fractional coordinates of all 21 atoms:
Na 0.0000 0.0000 0.0000  6 Si 3.10, 9 Pd 3.13-3.47
Na 0.3333 0.6667 0.5000  6 Si 3.08, 6 Pd 3.11
Si 0.0727 0.4476 0.0000  7 Pd 2.45-2.60
Si 0.2630 0.2234 0.5000  7 Pd 2.44-2.55
Si 0.3749 0.9273 0.0000  7 Pd 2.45-2.60
Si 0.5524 0.6251 0.0000  7 Pd 2.45-2.60
Si 0.6667 0.3333 0.0000  3 Pd 2.37
Si 0.7766 0.0396 0.5000  7 Pd 2.44-2.55
Si 0.9604 0.7370 0.5000  7 Pd 2.44-2.55
Pd 0.0477 0.2692 0.5000  4 Si 2.44-2.55
Pd 0.1096 0.7066 0.0000  4 Si 2.45-2.51
Pd 0.2216 0.9523 0.5000  4 Si 2.44-2.55
Pd 0.2934 0.4030 0.0000  4 Si 2.45-2.51
Pd 0.3962 0.1817 0.0000  4 Si 2.37-2.47
Pd 0.5335 0.4369 0.5000  5 Si 2.49-2.79
Pd 0.5631 0.0967 0.5000  5 Si 2.49-2.79
Pd 0.5970 0.8904 0.0000  4 Si 2.45-2.51
Pd 0.7308 0.7784 0.5000  4 Si 2.44-2.55
Pd 0.7855 0.6038 0.0000  4 Si 2.37-2.47
Pd 0.8183 0.2145 0.0000  4 Si 2.37-2.47
Pd 0.9033 0.4665 0.5000  5 Si 2.49-2.79


# NaSi2Pd2

NaSi2Pd2 after structural relaxation (GGA-PBE, Alexandria via LeMat-Bulk).

The energy above the most stable polymorph in this dataset is 129 meV per atom. Its crystal system is tetragonal. The symmetry is P4/mbm (127).

abc: 7.4679 7.4679 2.8071
angles: 90.00 90.00 90.00
With the nearest neighbours (Å) after each atom.
Fractional coordinates of all 10 atoms:
Na 0.0000 0.0000 0.0000  2 Na 2.81, 4 Si 2.99, 8 Pd 3.07
Na 0.5000 0.5000 0.0000  2 Na 2.81, 4 Si 2.99, 8 Pd 3.07
Si 0.1170 0.3830 0.0000  1 Si 2.47, 6 Pd 2.52-2.70
Si 0.3830 0.8830 0.0000  1 Si 2.47, 6 Pd 2.52-2.70
Si 0.6170 0.1170 0.0000  1 Si 2.47, 6 Pd 2.52-2.70
Si 0.8830 0.6170 0.0000  1 Si 2.47, 6 Pd 2.52-2.70
Pd 0.1846 0.6846 0.5000  6 Si 2.52-2.70, 2 Pd 2.81
Pd 0.3154 0.1846 0.5000  6 Si 2.52-2.70, 2 Pd 2.81
Pd 0.6846 0.8154 0.5000  6 Si 2.52-2.70, 2 Pd 2.81
Pd 0.8154 0.3154 0.5000  6 Si 2.52-2.70, 2 Pd 2.81


# Na3SiPd

Na3SiPd after structural relaxation (GGA-PBE, Alexandria via LeMat-Bulk).

The energy above the most stable polymorph in this dataset is 90 meV per atom. Its crystal system is cubic. The symmetry is Pm-3m (221).

abc: 5.4636 5.4636 5.4636
angles: 90.00 90.00 90.00
With the nearest neighbours (Å) after each atom.
Fractional coordinates of all 5 atoms:
Na 0.0000 0.0000 0.5000  2 Si 2.73
Na 0.0000 0.5000 0.0000  2 Si 2.73
Na 0.5000 0.0000 0.0000  2 Si 2.73
Si 0.0000 0.0000 0.0000  6 Na 2.73
Pd 0.5000 0.5000 0.5000  12 Na 3.86


# Na2Si2SnPd5

Na2Si2SnPd5 after structural relaxation (GGA-PBE, Alexandria via LeMat-Bulk).

Its crystal system is tetragonal. The symmetry is P4/mbm (127).

abc: 10.4957 10.4957 3.1867
angles: 90.00 90.00 90.00
With the nearest neighbours (Å) after each atom.
Fractional coordinates of all 20 atoms:
Na 0.1750 0.3250 0.0000  3 Si 2.96-3.20, 10 Pd 3.05-3.21, 2 Na 3.19
Na 0.3250 0.8250 0.0000  3 Si 2.96-3.20, 10 Pd 3.05-3.21, 2 Na 3.19
Na 0.6750 0.1750 0.0000  3 Si 2.96-3.20, 10 Pd 3.05-3.21, 2 Na 3.19
Na 0.8250 0.6750 0.0000  3 Si 2.96-3.20, 10 Pd 3.05-3.21, 2 Na 3.19
Si 0.1259 0.6259 0.0000  6 Pd 2.41-2.46
Si 0.3741 0.1259 0.0000  6 Pd 2.41-2.46
Si 0.6259 0.8741 0.0000  6 Pd 2.41-2.46
Si 0.8741 0.3741 0.0000  6 Pd 2.41-2.46
Sn 0.0000 0.0000 0.0000  8 Pd 2.82
Sn 0.5000 0.5000 0.0000  8 Pd 2.82
Pd 0.0000 0.5000 0.5000  4 Si 2.46
Pd 0.0652 0.7877 0.5000  2 Si 2.41
Pd 0.2123 0.0652 0.5000  2 Si 2.41
Pd 0.2877 0.5652 0.5000  2 Si 2.41
Pd 0.4348 0.2877 0.5000  2 Si 2.41
Pd 0.5000 0.0000 0.5000  4 Si 2.46
Pd 0.5652 0.7123 0.5000  2 Si 2.41
Pd 0.7123 0.4348 0.5000  2 Si 2.41
Pd 0.7877 0.9348 0.5000  2 Si 2.41
Pd 0.9348 0.2123 0.5000  2 Si 2.41


Computed values of energy relative to the elements, uncorrected (unit: eV/atom) for the preceding records, in sequence: -0.6145; -0.3520; 0.6645; -0.5090.
Computed values of volume (unit: Å³/f.u.) for the preceding records, in sequence: 329; 78; 163; 176.